1.
# CdTe3 PBE optimized geometry
# Uncorrected energy: -2.346 eV/atom
# ΔE_f (raw): 239 meV per atom
data_CdTe3
_chemical_formula_sum 'Cd4 Te12'
_symmetry_space_group_name_H-M 'F m -3 m'
_symmetry_Int_Tables_number 225
_symmetry_space_group_name_Hall '-F 4 2 3'
_cell_length_a 7.648
_cell_length_b 7.648
_cell_length_c 7.648
_cell_angle_alpha 90.00
_cell_angle_beta 90.00
_cell_angle_gamma 90.00
loop_
_atom_site_label
_atom_site_type_symbol
_atom_site_fract_x
_atom_site_fract_y
_atom_site_fract_z
_atom_site_occupancy
Cd1 Cd 0.000 0.000 0.000 1
Te1 Te 0.000 0.000 0.500 1
Te2 Te 0.250 0.250 0.250 1

---

2.
# RbLaHS2 PBE optimized geometry
# Uncorrected energy: -3.652 eV/atom
data_RbLaHS2
_chemical_formula_sum 'Rb1 La1 H1 S2'
_symmetry_space_group_name_H-M 'P 4/m m m'
_symmetry_Int_Tables_number 123
_symmetry_space_group_name_Hall '-P 4 2'
_cell_length_a 5.589
_cell_length_b 5.589
_cell_length_c 4.025
_cell_angle_alpha 90.00
_cell_angle_beta 90.00
_cell_angle_gamma 90.00
loop_
_atom_site_label
_atom_site_type_symbol
_atom_site_fract_x
_atom_site_fract_y
_atom_site_fract_z
_atom_site_occupancy
Rb1 Rb 0.000 0.000 0.000 1
La1 La 0.500 0.500 0.500 1
H1 H 0.000 0.000 0.500 1
S1 S 0.000 0.500 0.000 1

---

3.
# Tb6ScSn10 PBE optimized geometry
# Uncorrected energy: -4.898 eV/atom
data_Tb6ScSn10
_chemical_formula_sum 'Tb6 Sc1 Sn10'
_symmetry_space_group_name_H-M 'P -3 1 m'
_symmetry_Int_Tables_number 162
_symmetry_space_group_name_Hall '-P 3 2'
_cell_length_a 9.1692
_cell_length_b 9.1692
_cell_length_c 6.2880
_cell_angle_alpha 90.00
_cell_angle_beta 90.00
_cell_angle_gamma 120.00
loop_
_atom_site_label
_atom_site_type_symbol
_atom_site_fract_x
_atom_site_fract_y
_atom_site_fract_z
_atom_site_occupancy
Tb1 Tb 0.0000 0.3918 0.2624 1
Sc1 Sc 0.0000 0.0000 0.5000 1
Sn1 Sn 0.0000 0.2459 0.8033 1
Sn2 Sn 0.3333 0.6667 0.0000 1
Sn3 Sn 0.3333 0.6667 0.5000 1

---

4.
# Sr4AuBr PBE optimized geometry
# Uncorrected energy: -1.813 eV/atom
# ΔE_f (raw): 133 meV per atom
data_Sr4AuBr
_chemical_formula_sum 'Sr16 Au4 Br4'
_symmetry_space_group_name_H-M 'F -4 3 m'
_symmetry_Int_Tables_number 216
_symmetry_space_group_name_Hall 'F -4 2 3'
_cell_length_a 10.452
_cell_length_b 10.452
_cell_length_c 10.452
_cell_angle_alpha 90.00
_cell_angle_beta 90.00
_cell_angle_gamma 90.00
loop_
_atom_site_label
_atom_site_type_symbol
_atom_site_fract_x
_atom_site_fract_y
_atom_site_fract_z
_atom_site_occupancy
Sr1 Sr 0.125 0.125 0.125 1
Au1 Au 0.250 0.250 0.750 1
Br1 Br 0.000 0.000 0.500 1

---

5.
# LiGdPuHg PBE optimized geometry
# Uncorrected energy: -7.668 eV/atom
data_LiGdPuHg
_chemical_formula_sum 'Li4 Gd4 Pu4 Hg4'
_symmetry_space_group_name_H-M 'F -4 3 m'
_symmetry_Int_Tables_number 216
_symmetry_space_group_name_Hall 'F -4 2 3'
_cell_length_a 7.471
_cell_length_b 7.471
_cell_length_c 7.471
_cell_angle_alpha 90.00
_cell_angle_beta 90.00
_cell_angle_gamma 90.00
loop_
_atom_site_label
_atom_site_type_symbol
_atom_site_fract_x
_atom_site_fract_y
_atom_site_fract_z
_atom_site_occupancy
Li1 Li 0.000 0.000 0.000 1
Gd1 Gd 0.250 0.250 0.250 1
Pu1 Pu 0.250 0.250 0.750 1
Hg1 Hg 0.000 0.000 0.500 1

---

6.
# AcTb2NpN4 PBE optimized geometry
# Uncorrected energy: -8.542 eV/atom
# ΔE_f (raw): -1091 meV per atom
data_AcTb2NpN4
_chemical_formula_sum 'Ac4 Tb8 Np4 N16'
_symmetry_space_group_name_H-M 'C m c m'
_symmetry_Int_Tables_number 63
_symmetry_space_group_name_Hall '-C 2c 2'
_cell_length_a 3.594
_cell_length_b 12.313
_cell_length_c 12.642
_cell_angle_alpha 90.00
_cell_angle_beta 90.00
_cell_angle_gamma 90.00
loop_
_atom_site_label
_atom_site_type_symbol
_atom_site_fract_x
_atom_site_fract_y
_atom_site_fract_z
_atom_site_occupancy
Ac1 Ac 0.000 0.144 0.250 1
Tb1 Tb 0.000 0.370 0.024 1
Np1 Np 0.000 0.124 0.750 1
N1 N 0.000 0.000 0.000 1
N2 N 0.000 0.247 0.617 1
N3 N 0.000 0.479 0.250 1

---

7.
# RbSnBi2Cl PBE optimized geometry
# Uncorrected energy: -1.762 eV/atom
# ΔE_f (raw): 1154 meV per atom
data_RbSnBi2Cl
_chemical_formula_sum 'Rb1 Sn1 Bi2 Cl1'
_symmetry_space_group_name_H-M 'P 4/m m m'
_symmetry_Int_Tables_number 123
_symmetry_space_group_name_Hall '-P 4 2'
_cell_length_a 6.345
_cell_length_b 6.345
_cell_length_c 6.646
_cell_angle_alpha 90.00
_cell_angle_beta 90.00
_cell_angle_gamma 90.00
loop_
_atom_site_label
_atom_site_type_symbol
_atom_site_fract_x
_atom_site_fract_y
_atom_site_fract_z
_atom_site_occupancy
Rb1 Rb 0.000 0.000 0.000 1
Sn1 Sn 0.000 0.000 0.500 1
Bi1 Bi 0.000 0.500 0.000 1
Cl1 Cl 0.500 0.500 0.500 1

---

8.
# TcRhI3 PBE optimized geometry
# Uncorrected energy: -3.584 eV/atom
# Distance to the lowest polymorph of the same formula: 0.0 meV/atom
# ΔE_f (raw): 890 meV per atom
data_TcRhI3
_chemical_formula_sum 'Tc1 Rh1 I3'
_symmetry_space_group_name_H-M 'P m -3 m'
_symmetry_Int_Tables_number 221
_symmetry_space_group_name_Hall '-P 4 2 3'
_cell_length_a 5.394
_cell_length_b 5.394
_cell_length_c 5.394
_cell_angle_alpha 90.00
_cell_angle_beta 90.00
_cell_angle_gamma 90.00
loop_
_atom_site_label
_atom_site_type_symbol
_atom_site_fract_x
_atom_site_fract_y
_atom_site_fract_z
_atom_site_occupancy
Tc1 Tc 0.000 0.000 0.000 1
Rh1 Rh 0.500 0.500 0.500 1
I1 I 0.000 0.500 0.500 1

---

9.
# HoSc4In2 PBE optimized geometry
# Uncorrected energy: -4.978 eV/atom
# Distance to the lowest polymorph of the same formula: 21.8 meV/atom
data_HoSc4In2
_chemical_formula_sum 'Ho2 Sc8 In4'
_symmetry_space_group_name_H-M 'I 4/m m m'
_symmetry_Int_Tables_number 139
_symmetry_space_group_name_Hall '-I 4 2'
_cell_length_a 4.029
_cell_length_b 4.029
_cell_length_c 22.253
_cell_angle_alpha 90.00
_cell_angle_beta 90.00
_cell_angle_gamma 90.00
loop_
_atom_site_label
_atom_site_type_symbol
_atom_site_fract_x
_atom_site_fract_y
_atom_site_fract_z
_atom_site_occupancy
Ho1 Ho 0.000 0.000 0.000 1
Sc1 Sc 0.000 0.000 0.138 1
Sc2 Sc 0.000 0.500 0.250 1
In1 In 0.000 0.000 0.417 1

---

10.
# NbZnMo2 PBE optimized geometry
# Uncorrected energy: -8.174 eV/atom
data_NbZnMo2
_chemical_formula_sum 'Nb1 Zn1 Mo2'
_symmetry_space_group_name_H-M 'P 4/m m m'
_symmetry_Int_Tables_number 123
_symmetry_space_group_name_Hall '-P 4 2'
_cell_length_a 3.919
_cell_length_b 3.919
_cell_length_c 4.156
_cell_angle_alpha 90.00
_cell_angle_beta 90.00
_cell_angle_gamma 90.00
loop_
_atom_site_label
_atom_site_type_symbol
_atom_site_fract_x
_atom_site_fract_y
_atom_site_fract_z
_atom_site_occupancy
Nb1 Nb 0.000 0.000 0.000 1
Zn1 Zn 0.500 0.500 0.000 1
Mo1 Mo 0.000 0.500 0.500 1

---

11.
# Al2CrCd PBE optimized geometry
# Uncorrected energy: -4.327 eV/atom
data_Al2CrCd
_chemical_formula_sum 'Al2 Cr1 Cd1'
_symmetry_space_group_name_H-M 'P 1 2/m 1'
_symmetry_Int_Tables_number 10
_cell_length_a 4.808
_cell_length_b 3.014
_cell_length_c 4.978
_cell_angle_alpha 90.00
_cell_angle_beta 110.28
_cell_angle_gamma 90.00
loop_
_symmetry_equiv_pos_as_xyz
'x,y,z'
'-x,-y,-z'
'-x,y,-z'
'x,-y,z'
loop_
_atom_site_label
_atom_site_type_symbol
_atom_site_fract_x
_atom_site_fract_y
_atom_site_fract_z
_atom_site_occupancy
Al1 Al 0.000 0.000 0.000 1
Al2 Al 0.000 0.500 0.500 1
Cr1 Cr 0.500 0.000 0.500 1
Cd1 Cd 0.500 0.500 0.000 1

---

12.
# Cs2Cd6Rh PBE optimized geometry
# Uncorrected energy: -1.626 eV/atom
data_Cs2Cd6Rh
_chemical_formula_sum 'Cs4 Cd12 Rh2'
_symmetry_space_group_name_H-M 'C 1 2/m 1'
_symmetry_Int_Tables_number 12
_cell_length_a 14.399
_cell_length_b 7.202
_cell_length_c 5.934
_cell_angle_alpha 90.00
_cell_angle_beta 96.18
_cell_angle_gamma 90.00
loop_
_symmetry_equiv_pos_as_xyz
'x,y,z'
'-x,-y,-z'
'-x,y,-z'
'x,-y,z'
'x+1/2,y+1/2,z'
'-x+1/2,-y+1/2,-z'
'-x+1/2,y+1/2,-z'
'x+1/2,-y+1/2,z'
loop_
_atom_site_label
_atom_site_type_symbol
_atom_site_fract_x
_atom_site_fract_y
_atom_site_fract_z
_atom_site_occupancy
Cs1 Cs 0.214 0.000 0.302 1
Cd1 Cd 0.052 0.200 0.758 1
Cd2 Cd 0.101 0.500 0.140 1
Rh1 Rh 0.000 0.500 0.500 1